[1]
VASP calculation (PBE) on a relaxed structure of SrCu2TeO.

Unit cell a=3.9734 b=6.6731 c=7.2943 alpha=90.00 beta=90.00 gamma=107.32
Fractional coordinates of all 10 atoms:
Sr1 0.4685 0.9371 0.7500
Sr2 0.5315 0.0629 0.2500
Cu1 0.1523 0.3046 0.9335
Cu2 0.8477 0.6954 0.0665
Cu3 0.1523 0.3046 0.5665
Cu4 0.8477 0.6954 0.4335
Te1 0.7392 0.4784 0.7500
Te2 0.2608 0.5216 0.2500
O1 0.0000 0.0000 0.0000
O2 0.0000 0.0000 0.5000

Magnetic moment in Bohr magnetons per cell: 0.00
E_form (uncorrected) in meV per atom: -982
Density in g/cm3: 6.44

***

[2]
VASP calculation (PBE) on a relaxed structure of SrCuTeO6.

Unit cell a=5.1716 b=5.1715 c=5.4611 alpha=90.01 beta=89.99 gamma=59.97
Site moments in Bohr magnetons follow the coordinates.
Fractional coordinates of all 9 atoms:
Sr1 0.0000 0.0001 0.0000  0.01
Cu1 0.6667 0.6667 0.5000  0.40
Te1 0.3334 0.3334 0.5000  -0.01
O1 0.0027 0.3804 0.2972  0.09
O2 0.3804 0.0027 0.7028  0.09
O3 0.6168 0.3802 0.7030  0.09
O4 0.0029 0.6168 0.7032  0.09
O5 0.3802 0.6168 0.2969  0.09
O6 0.6168 0.0029 0.2968  0.09

Magnetic moment in Bohr magnetons per cell: 1.03
E_form (uncorrected) in meV per atom: -1266
Density in g/cm3: 4.92

***

[3]
VASP calculation (PBE) on a relaxed structure of Sr3TiCu2O8.

Unit cell a=5.5834 b=5.5834 c=7.2323 alpha=90.00 beta=90.00 gamma=120.00
Site moments in Bohr magnetons follow the coordinates.
Fractional coordinates of all 14 atoms:
Sr1 0.3333 0.6667 0.6313  0.00
Sr2 0.6667 0.3333 0.3687  0.00
Sr3 0.0000 0.0000 0.0000  -0.01
Ti1 0.0000 0.0000 0.5000  0.03
Cu1 0.3333 0.6667 0.2010  0.80
Cu2 0.6667 0.3333 0.7990  0.80
O1 0.3333 0.6667 0.9570  0.44
O2 0.6667 0.3333 0.0430  0.44
O3 0.1618 0.8382 0.3365  0.20
O4 0.8382 0.1618 0.6635  0.20
O5 0.1618 0.3236 0.3365  0.20
O6 0.8382 0.6764 0.6635  0.20
O7 0.6764 0.8382 0.3365  0.20
O8 0.3236 0.1618 0.6635  0.20

Magnetic moment in Bohr magnetons per cell: 4.05
E_form (uncorrected) in meV per atom: -1929
Density in g/cm3: 4.81

***

[4]
VASP calculation (PBE) on a relaxed structure of SrTiCuO4.

Unit cell a=3.9630 b=3.9630 c=11.0213 alpha=90.00 beta=90.00 gamma=90.00
Site moments in Bohr magnetons follow the coordinates.
Fractional coordinates of all 14 atoms:
Sr1 0.0000 0.5000 0.1282  0.00
Sr2 0.5000 0.0000 0.8718  0.00
Ti1 0.0000 0.5000 0.7273  0.00
Ti2 0.5000 0.0000 0.2727  0.00
Cu1 0.5000 0.5000 0.5000  0.23
Cu2 0.0000 0.0000 0.5000  0.23
O1 0.0000 0.5000 0.8983  0.01
O2 0.5000 0.0000 0.1017  0.01
O3 0.0000 0.5000 0.5258  0.08
O4 0.5000 0.0000 0.4742  0.08
O5 0.0000 0.0000 0.7210  0.01
O6 0.5000 0.5000 0.7210  0.01
O7 0.5000 0.5000 0.2790  0.01
O8 0.0000 0.0000 0.2790  0.01

Magnetic moment in Bohr magnetons per cell: 0.72
E_form (uncorrected) in meV per atom: -2273
Density in g/cm3: 5.05

***

[5]
VASP calculation (PBE) on a relaxed structure of Sr2TiCu2O6.

Unit cell a=5.8144 b=5.8144 c=6.1843 alpha=61.96 beta=61.96 gamma=60.00
Site moments in Bohr magnetons follow the coordinates.
Fractional coordinates of all 11 atoms:
Sr1 0.7845 0.7845 0.6464  -0.01
Sr2 0.2155 0.2155 0.3536  -0.01
Ti1 0.0000 0.0000 0.0000  -0.04
Cu1 0.4160 0.4160 0.7521  0.48
Cu2 0.5840 0.5840 0.2479  0.48
O1 0.7682 0.7682 0.2441  0.17
O2 0.2195 0.7682 0.2441  0.17
O3 0.7682 0.2195 0.2441  0.17
O4 0.2318 0.7805 0.7559  0.17
O5 0.7805 0.2318 0.7559  0.17
O6 0.2318 0.2318 0.7559  0.17

Magnetic moment in Bohr magnetons per cell: 2.05
E_form (uncorrected) in meV per atom: -1967
Density in g/cm3: 4.87

***

[6]
VASP calculation (PBE) on a relaxed structure of Sr4Ti3CuO12.

Unit cell a=6.8067 b=6.8067 c=6.8067 alpha=109.47 beta=109.47 gamma=109.47
Fractional coordinates of all 20 atoms:
Sr1 0.5000 0.5000 0.5000
Sr2 0.0000 0.0000 0.5000
Sr3 0.5000 0.0000 0.0000
Sr4 0.0000 0.5000 0.0000
Ti1 0.5000 0.0000 0.5000
Ti2 0.5000 0.5000 0.0000
Ti3 0.0000 0.5000 0.5000
Cu1 0.0000 0.0000 0.0000
O1 0.2500 0.5000 0.7500
O2 0.7482 0.0000 0.7482
O3 0.2518 0.0000 0.2518
O4 0.7500 0.5000 0.2500
O5 0.7482 0.7482 0.0000
O6 0.2518 0.2518 0.0000
O7 0.7500 0.2500 0.5000
O8 0.2500 0.7500 0.5000
O9 0.5000 0.2500 0.7500
O10 0.0000 0.7482 0.7482
O11 0.5000 0.7500 0.2500
O12 0.0000 0.2518 0.2518

Magnetic moment in Bohr magnetons per cell: 0.00
E_form (uncorrected) in meV per atom: -2661
Density in g/cm3: 5.13

***

[7]
VASP calculation (PBE) on a relaxed structure of Sr2TlCu2O6.

Unit cell a=5.8913 b=5.8913 c=6.7520 alpha=64.13 beta=64.13 gamma=60.00
Site moments in Bohr magnetons follow the coordinates.
Fractional coordinates of all 11 atoms:
Sr1 0.7931 0.7931 0.6206  0.00
Sr2 0.2069 0.2069 0.3794  0.00
Tl1 0.0000 0.0000 0.0000  0.00
Cu1 0.4209 0.4209 0.7373  0.55
Cu2 0.5791 0.5791 0.2627  0.55
O1 0.7512 0.7512 0.2791  0.21
O2 0.2185 0.7512 0.2791  0.21
O3 0.7512 0.2185 0.2791  0.21
O4 0.2488 0.7815 0.7209  0.21
O5 0.7815 0.2488 0.7209  0.21
O6 0.2488 0.2488 0.7209  0.21

Magnetic moment in Bohr magnetons per cell: 2.56
E_form (uncorrected) in meV per atom: -1235
Density in g/cm3: 5.71

***

[8]
VASP calculation (PBE) on a relaxed structure of SrTlCuO3.

Unit cell a=3.3992 b=7.2509 c=7.6883 alpha=100.87 beta=90.00 gamma=90.00
Fractional coordinates of all 12 atoms:
Sr1 0.2500 0.1733 0.2157
Sr2 0.7500 0.8267 0.7843
Tl1 0.2500 0.6541 0.1653
Tl2 0.7500 0.3459 0.8347
Cu1 0.2500 0.1339 0.6031
Cu2 0.7500 0.8661 0.3969
O1 0.7500 0.8891 0.1309
O2 0.2500 0.1109 0.8691
O3 0.2500 0.8203 0.5309
O4 0.7500 0.1797 0.4691
O5 0.7500 0.4270 0.1437
O6 0.2500 0.5730 0.8563

Magnetic moment in Bohr magnetons per cell: 0.00
E_form (uncorrected) in meV per atom: -1180
Density in g/cm3: 7.20